Computed, not measured: a geometry-optimized PmSb2Au structure at the PBE-GGA level of DFT.

Calculated values
- Size of the total moment: 0.0 μB/f.u.
- Total DFT energy (no corrections): -37.99 eV/cell

Cell: 10.8272 4.4168 10.8273 Å, 78.23 23.54 78.23°
Last column: nearest neighbours and their distance in Å.
Fractional coordinates of all 8 atoms:
Au  0.2504  0.2504  0.2496  4 Sb 2.89, 4 Au 3.12
Au  0.7504  0.7504  0.7496  4 Sb 2.89, 4 Au 3.12
Pm  0.1232  0.8766  0.1234  8 Sb 3.22-3.38, 4 Au 3.43
Pm  0.8766  0.1232  0.8768  8 Sb 3.22-3.38, 4 Au 3.43
Sb  0.9995  0.4996  0.0005  4 Sb 3.12, 4 Pm 3.38
Sb  0.3397  0.6601  0.3399  4 Au 2.89, 4 Pm 3.22
Sb  0.4996  0.9995  0.5004  4 Sb 3.12, 4 Pm 3.38
Sb  0.6601  0.3397  0.6603  4 Au 2.89, 4 Pm 3.22

Computed, not measured: a geometry-optimized PmScAu structure at the PBE-GGA level of DFT.

Calculated values
- ΔH_f (0 K): 28 meV/atom
- Size of the total moment: 0.0 μB/f.u.

Cell: 4.7398 4.7398 4.7398 Å, 60.00 60.00 60.00°
Last column: nearest neighbours and their distance in Å.
Fractional coordinates of all 3 atoms:
Au  0.2500  0.2500  0.2500  4 Sc 2.90
Pm  0.7500  0.7500  0.7500  4 Sc 2.90
Sc  0.0000  0.0000  0.0000  4 Au 2.90, 4 Pm 2.90

Computed, not measured: a geometry-optimized PmAuSe structure at the PBE-GGA level of DFT.

Calculated values
- Size of the total moment: 0.0 μB/f.u.
- Total DFT energy (no corrections): -13.86 eV/cell

Cell: 4.8162 4.8162 4.8162 Å, 60.00 60.00 60.00°
Last column: nearest neighbours and their distance in Å.
Fractional coordinates of all 3 atoms:
Au  0.2500  0.2500  0.2500  4 Se 2.95
Pm  0.7500  0.7500  0.7500  4 Se 2.95
Se  0.5000  0.5000  0.5000  4 Au 2.95, 4 Pm 2.95

Computed, not measured: a geometry-optimized PmSi2Au4 structure at the PBE-GGA level of DFT.

Calculated values
- Size of the total moment: 0.0 μB/f.u.
- Total DFT energy (no corrections): -32.04 eV/cell

Cell: 7.3062 7.3062 4.3551 Å, 90.00 90.00 145.23°
Last column: nearest neighbours and their distance in Å.
Fractional coordinates of all 7 atoms:
Au  0.6742  0.3258  0.0000  2 Si 2.51
Au  0.3258  0.6742  0.0000  2 Si 2.51
Au  0.8270  0.1730  0.5000  2 Si 2.51
Au  0.1730  0.8270  0.5000  2 Si 2.51
Pm  0.0000  0.0000  0.0000  8 Au 3.25-3.27, 8 Si 3.30
Si  0.5842  0.4157  0.5000  1 Si 2.35, 4 Au 2.51
Si  0.4157  0.5842  0.5000  1 Si 2.35, 4 Au 2.51

Computed, not measured: a geometry-optimized Pm3Si4Au2 structure at the PBE-GGA level of DFT.

Calculated values
- Size of the total moment: 0.0 μB/f.u.
- Total DFT energy (no corrections): -49.82 eV/cell

Cell: 5.9347 5.9347 8.3681 Å, 100.32 100.32 41.94°
Last column: nearest neighbours and their distance in Å.
Fractional coordinates of all 9 atoms:
Au  0.3864  0.3864  0.2196  3 Si 2.45-2.46
Au  0.6136  0.6136  0.7804  3 Si 2.45-2.46
Pm  0.6628  0.6628  0.1715  8 Si 3.13-3.28, 4 Au 3.17-3.23
Pm  0.0000  0.0000  0.5000  8 Si 3.18-3.23, 4 Au 3.24
Pm  0.3372  0.3372  0.8285  8 Si 3.13-3.28, 4 Au 3.17-3.23
Si  0.9457  0.9457  0.1081  1 Si 2.36, 2 Au 2.46
Si  0.2766  0.2766  0.4469  2 Si 2.42, 1 Au 2.45
Si  0.7234  0.7234  0.5531  2 Si 2.42, 1 Au 2.45
Si  0.0543  0.0543  0.8919  1 Si 2.36, 2 Au 2.46

Computed, not measured: a geometry-optimized PmSmAu structure at the PBE-GGA level of DFT.

Calculated values
- ΔH_f (0 K): 96 meV/atom
- Size of the total moment: 0.0 μB/f.u.

Cell: 4.9491 4.9491 4.9491 Å, 60.00 60.00 60.00°
Last column: nearest neighbours and their distance in Å.
Fractional coordinates of all 3 atoms:
Au  0.2500  0.2500  0.2500  4 Sm 3.03
Pm  0.7500  0.7500  0.7500  4 Sm 3.03
Sm  0.0000  0.0000  0.0000  4 Au 3.03, 4 Pm 3.03

Computed, not measured: a geometry-optimized PmSnAu structure at the PBE-GGA level of DFT.

Calculated values
- Size of the total moment: 0.0 μB/f.u.
- Total DFT energy (no corrections): -14.60 eV/cell

Cell: 4.8440 4.8440 4.8440 Å, 60.00 60.00 60.00°
Last column: nearest neighbours and their distance in Å.
Fractional coordinates of all 3 atoms:
Au  0.7500  0.7500  0.7500  4 Pm 2.97, 4 Sn 2.97
Pm  0.5000  0.5000  0.5000  4 Au 2.97
Sn  0.0000  0.0000  0.0000  4 Au 2.97

Computed, not measured: a geometry-optimized PmTcAu structure at the PBE-GGA level of DFT.

Calculated values
- ΔH_f (0 K): 847 meV/atom
- Size of the total moment: 1.8 μB/f.u.

Cell: 4.6784 4.6784 4.6784 Å, 60.00 60.00 60.00°
Last column: nearest neighbours and their distance in Å.
Fractional coordinates of all 3 atoms:
Au  0.2500  0.2500  0.2500  4 Pm 2.86
Pm  0.0000  0.0000  0.0000  4 Tc 2.86, 4 Au 2.86
Tc  0.7500  0.7500  0.7500  4 Pm 2.86

Computed, not measured: a geometry-optimized Pm2TlAu2 structure at the PBE-GGA level of DFT.

Calculated values
- Size of the total moment: 0.0 μB/f.u.
- Total DFT energy (no corrections): -44.04 eV/cell

Cell: 8.1626 8.1626 3.8293 Å, 90.00 90.00 90.00°
Last column: nearest neighbours and their distance in Å.
Fractional coordinates of all 10 atoms:
Au  0.6254  0.1254  0.0000  1 Au 2.89, 6 Pm 3.02-3.12, 2 Tl 3.22
Au  0.1254  0.3746  0.0000  1 Au 2.89, 6 Pm 3.02-3.12, 2 Tl 3.22
Au  0.8746  0.6254  0.0000  1 Au 2.89, 6 Pm 3.02-3.12, 2 Tl 3.22
Au  0.3746  0.8746  0.0000  1 Au 2.89, 6 Pm 3.02-3.12, 2 Tl 3.22
Pm  0.3278  0.1722  0.5000  6 Au 3.02-3.12
Pm  0.8278  0.3278  0.5000  6 Au 3.02-3.12
Pm  0.1722  0.6722  0.5000  6 Au 3.02-3.12
Pm  0.6722  0.8278  0.5000  6 Au 3.02-3.12
Tl  0.0000  0.0000  0.0000  4 Au 3.22, 8 Pm 3.58
Tl  0.5000  0.5000  0.0000  4 Au 3.22, 8 Pm 3.58

Computed, not measured: a geometry-optimized PmTmAu structure at the PBE-GGA level of DFT.

Calculated values
- ΔH_f (0 K): 62 meV/atom
- Size of the total moment: 0.0 μB/f.u.

Cell: 4.8673 4.8673 4.8673 Å, 60.00 60.00 60.00°
Last column: nearest neighbours and their distance in Å.
Fractional coordinates of all 3 atoms:
Au  0.2500  0.2500  0.2500  4 Tm 2.98
Pm  0.7500  0.7500  0.7500  4 Tm 2.98
Tm  0.0000  0.0000  0.0000  4 Pm 2.98, 4 Au 2.98

Computed, not measured: a geometry-optimized PmWAu structure at the PBE-GGA level of DFT.

Calculated values
- ΔH_f (0 K): 1304 meV/atom
- Size of the total moment: 3.1 μB/f.u.

Cell: 4.8071 4.8071 4.8071 Å, 60.00 60.00 60.00°
Last column: nearest neighbours and their distance in Å.
Fractional coordinates of all 3 atoms:
Au  0.2500  0.2500  0.2500  4 Pm 2.94
Pm  0.0000  0.0000  0.0000  4 W 2.94, 4 Au 2.94
W  0.7500  0.7500  0.7500  4 Pm 2.94

Computed, not measured: a geometry-optimized PmYAu structure at the PBE-GGA level of DFT.

Calculated values
- ΔH_f (0 K): 118 meV/atom
- Size of the total moment: 0.0 μB/f.u.

Cell: 4.9124 4.9124 4.9124 Å, 60.00 60.00 60.00°
Last column: nearest neighbours and their distance in Å.
Fractional coordinates of all 3 atoms:
Au  0.0000  0.0000  0.0000  4 Y 3.01
Pm  0.5000  0.5000  0.5000  4 Y 3.01
Y  0.2500  0.2500  0.2500  4 Pm 3.01, 4 Au 3.01

Computed, not measured: a geometry-optimized Pm2Zn5Au5 structure at the PBE-GGA level of DFT.

Calculated values
- ΔH_f (0 K): -503 meV/atom
- Size of the total moment: 0.0 μB/f.u.

Cell: 4.5276 5.3519 9.5622 Å, 90.00 90.00 90.00°
Last column: nearest neighbours and their distance in Å.
Fractional coordinates of all 12 atoms:
Au  0.5000  0.0000  0.0000  4 Zn 2.76, 4 Au 2.85
Au  0.0000  0.0000  0.1804  4 Zn 2.72, 2 Au 2.85
Au  0.0000  0.5000  0.3342  6 Zn 2.74-2.76, 2 Au 3.05
Au  0.0000  0.5000  0.6658  6 Zn 2.74-2.76, 2 Au 3.05
Au  0.0000  0.0000  0.8196  4 Zn 2.72, 2 Au 2.85
Pm  0.0000  0.5000  0.0000  10 Au 3.18-3.51, 8 Zn 3.56
Pm  0.0000  0.0000  0.5000  6 Au 3.06-3.11
Zn  0.5000  0.2511  0.2516  3 Zn 2.66-2.72, 5 Au 2.72-2.76
Zn  0.5000  0.7489  0.2516  3 Zn 2.66-2.72, 5 Au 2.72-2.76
Zn  0.5000  0.5000  0.5000  4 Zn 2.72, 4 Au 2.76
Zn  0.5000  0.2511  0.7484  3 Zn 2.66-2.72, 5 Au 2.72-2.76
Zn  0.5000  0.7489  0.7484  3 Zn 2.66-2.72, 5 Au 2.72-2.76

Computed, not measured: a geometry-optimized PmZn2Au4 structure at the PBE-GGA level of DFT.

Calculated values
- ΔH_f (0 K): -520 meV/atom
- Size of the total moment: 0.0 μB/f.u.

Cell: 5.6593 5.6593 5.3442 Å, 118.07 118.07 76.89°
Last column: nearest neighbours and their distance in Å.
Fractional coordinates of all 7 atoms:
Au  0.6029  0.0019  0.3019  4 Au 2.80-2.87, 4 Zn 2.87-2.89, 1 Pm 3.01
Au  0.0019  0.6029  0.3019  4 Au 2.80-2.87, 4 Zn 2.87-2.89, 1 Pm 3.01
Au  0.9981  0.3971  0.6981  4 Au 2.80-2.87, 4 Zn 2.87-2.89, 1 Pm 3.01
Au  0.3971  0.9981  0.6981  4 Au 2.80-2.87, 4 Zn 2.87-2.89, 1 Pm 3.01
Pm  0.0000  0.0000  0.0000  12 Au 3.01-3.33
Zn  0.4997  0.4997  0.2485  2 Zn 2.66-2.68, 8 Au 2.87-2.89
Zn  0.5003  0.5003  0.7515  2 Zn 2.66-2.68, 8 Au 2.87-2.89

Computed, not measured: a geometry-optimized Pm2Zn5Au4 structure at the PBE-GGA level of DFT.

Calculated values
- ΔH_f (0 K): -505 meV/atom
- Size of the total moment: 0.0 μB/f.u.

Cell: 9.7992 9.0540 5.3866 Å, 81.17 65.92 32.90°
Last column: nearest neighbours and their distance in Å.
Fractional coordinates of all 11 atoms:
Au  0.4708  0.7896  0.2104  5 Zn 2.62-2.76
Au  0.2104  0.5292  0.4708  5 Zn 2.62-2.76
Au  0.7896  0.4708  0.5292  5 Zn 2.62-2.76
Au  0.5292  0.2104  0.7896  5 Zn 2.62-2.76
Pm  0.8721  0.8721  0.1279  6 Au 3.11-3.16, 8 Zn 3.42-3.48
Pm  0.1279  0.1279  0.8721  6 Au 3.11-3.16, 8 Zn 3.42-3.48
Zn  0.5000  0.5000  0.0000  4 Zn 2.69-2.74, 4 Au 2.76
Zn  0.2500  0.2500  0.2500  4 Au 2.62, 2 Zn 2.74
Zn  0.0000  0.0000  0.5000  4 Zn 2.69-2.74, 4 Au 2.76
Zn  0.5000  0.5000  0.5000  4 Au 2.69, 4 Zn 2.69
Zn  0.7500  0.7500  0.7500  4 Au 2.62, 2 Zn 2.74

Computed, not measured: a geometry-optimized PmZnAu2 structure at the PBE-GGA level of DFT.

Calculated values
- ΔH_f (0 K): -649 meV/atom
- Size of the total moment: 0.0 μB/f.u.

Cell: 7.8704 7.4143 5.6683 Å, 90.00 90.00 90.00°
Last column: nearest neighbours and their distance in Å.
Fractional coordinates of all 16 atoms:
Au  0.8147  0.0542  0.0951  3 Zn 2.65-2.76, 1 Au 2.90
Au  0.8147  0.4458  0.0951  3 Zn 2.65-2.76, 1 Au 2.90
Au  0.3147  0.0542  0.4049  3 Zn 2.65-2.76, 1 Au 2.90
Au  0.3147  0.4458  0.4049  3 Zn 2.65-2.76, 1 Au 2.90
Au  0.6853  0.5542  0.5951  3 Zn 2.65-2.76, 1 Au 2.90
Au  0.6853  0.9458  0.5951  3 Zn 2.65-2.76, 1 Au 2.90
Au  0.1853  0.5542  0.9049  3 Zn 2.65-2.76, 1 Au 2.90
Au  0.1853  0.9458  0.9049  3 Zn 2.65-2.76, 1 Au 2.90
Pm  0.5437  0.7500  0.1415  3 Zn 3.05-3.13, 6 Au 3.12-3.25
Pm  0.0437  0.7500  0.3585  3 Zn 3.05-3.13, 6 Au 3.12-3.25
Pm  0.9563  0.2500  0.6415  3 Zn 3.05-3.13, 6 Au 3.12-3.25
Pm  0.4563  0.2500  0.8585  3 Zn 3.05-3.13, 6 Au 3.12-3.25
Zn  0.1115  0.2500  0.1352  6 Au 2.65-2.76
Zn  0.6115  0.2500  0.3648  6 Au 2.65-2.76
Zn  0.3885  0.7500  0.6352  6 Au 2.65-2.76
Zn  0.8885  0.7500  0.8648  6 Au 2.65-2.76

Computed, not measured: a geometry-optimized PmZnAu structure at the PBE-GGA level of DFT.

Calculated values
- ΔH_f (0 K): -368 meV/atom
- Size of the total moment: 0.1 μB/f.u.
- Relative energy among the computed polymorphs: 281 meV per atom

Cell: 4.6608 4.6608 4.6608 Å, 60.00 60.00 60.00°
Last column: nearest neighbours and their distance in Å.
Fractional coordinates of all 3 atoms:
Au  0.2500  0.2500  0.2500  4 Zn 2.85
Pm  0.7500  0.7500  0.7500  4 Zn 2.85
Zn  0.0000  0.0000  0.0000  4 Au 2.85, 4 Pm 2.85

Computed, not measured: a geometry-optimized Pm2Zn15Au2 structure at the PBE-GGA level of DFT.

Calculated values
- ΔH_f (0 K): -302 meV/atom
- Size of the total moment: 0.0 μB/f.u.

Cell: 6.8605 6.8605 6.8605 Å, 82.68 82.68 82.68°
Last column: nearest neighbours and their distance in Å.
Fractional coordinates of all 19 atoms:
Au  0.1096  0.1096  0.1096  12 Zn 2.72-3.04, 1 Au 2.92
Au  0.8904  0.8904  0.8904  12 Zn 2.72-3.04, 1 Au 2.92
Pm  0.3400  0.3400  0.3400  1 Au 3.07, 15 Zn 3.20-3.43
Pm  0.6600  0.6600  0.6600  1 Au 3.07, 15 Zn 3.20-3.43
Zn  0.5000  0.0000  0.0000  8 Zn 2.61-2.66, 2 Au 2.72
Zn  0.7063  0.2937  0.0000  8 Zn 2.61-2.77
Zn  0.0000  0.5000  0.0000  8 Zn 2.61-2.66, 2 Au 2.72
Zn  0.2937  0.7063  0.0000  8 Zn 2.61-2.77
Zn  0.6483  0.6483  0.1630  8 Zn 2.56-2.77, 1 Au 2.85
Zn  0.7063  0.0000  0.2937  8 Zn 2.61-2.77
Zn  0.0000  0.7063  0.2937  8 Zn 2.61-2.77
Zn  0.8370  0.3517  0.3517  8 Zn 2.56-2.77, 1 Au 2.85
Zn  0.3517  0.8370  0.3517  8 Zn 2.56-2.77, 1 Au 2.85
Zn  0.0000  0.0000  0.5000  8 Zn 2.61-2.66, 2 Au 2.72
Zn  0.6483  0.1630  0.6483  8 Zn 2.56-2.77, 1 Au 2.85
Zn  0.1630  0.6483  0.6483  8 Zn 2.56-2.77, 1 Au 2.85
Zn  0.2937  0.0000  0.7063  8 Zn 2.61-2.77
Zn  0.0000  0.2937  0.7063  8 Zn 2.61-2.77
Zn  0.3517  0.3517  0.8370  8 Zn 2.56-2.77, 1 Au 2.85

Computed, not measured: a geometry-optimized PmZnAu structure at the PBE-GGA level of DFT.

Calculated values
- ΔH_f (0 K): -649 meV/atom
- Size of the total moment: 0.0 μB/f.u.
- Relative energy among the computed polymorphs: 0 meV per atom

Cell: 4.6122 4.6122 3.6146 Å, 90.00 90.00 120.00°
Last column: nearest neighbours and their distance in Å.
Fractional coordinates of all 3 atoms:
Au  0.0000  0.0000  0.8335  3 Zn 2.66
Pm  0.6667  0.3333  0.3334  6 Zn 3.22, 6 Au 3.22
Zn  0.3333  0.6667  0.8331  3 Au 2.66

Computed, not measured: a geometry-optimized PmZnAu structure at the PBE-GGA level of DFT.

Calculated values
- ΔH_f (0 K): -170 meV/atom
- Size of the total moment: 0.0 μB/f.u.
- Relative energy among the computed polymorphs: 479 meV per atom

Cell: 4.8625 4.8625 4.8625 Å, 60.00 60.00 60.00°
Last column: nearest neighbours and their distance in Å.
Fractional coordinates of all 3 atoms:
Au  0.2500  0.2500  0.2500  4 Pm 2.98
Pm  0.0000  0.0000  0.0000  4 Zn 2.98, 4 Au 2.98
Zn  0.7500  0.7500  0.7500  4 Pm 2.98